PbAuS2: relaxed, PBE.

The structure in POSCAR format:
```
PbAuS2
1.0
2.514 0.000 7.319
-1.257 2.177 7.319
-1.257 -2.177 7.319
Au S Pb
1 2 1
direct
0.000 0.000 0.000
0.897 0.897 0.897
0.103 0.103 0.103
0.500 0.500 0.500
```

For the electronic total energy, the calculation gives -3.982 eV per atom. For the density of states at the Fermi level, the calculation gives 1.76 states/eV per cell. For the formation energy from raw total energies, the calculation gives -0.172 eV/atom. As for the total magnetization: 0.00 μB per cell. As for the space group: R-3m (166).



PbAuS: relaxed, PBE.

The structure in POSCAR format:
```
PbAuS
1.0
3.945 0.000 0.000
0.000 6.588 0.000
0.000 0.000 11.404
Au S Pb
4 4 4
direct
0.250 0.971 0.310
0.750 0.471 0.190
0.750 0.029 0.690
0.250 0.529 0.810
0.250 0.588 0.328
0.750 0.412 0.672
0.750 0.088 0.172
0.250 0.912 0.828
0.750 0.274 0.939
0.250 0.774 0.561
0.250 0.726 0.061
0.750 0.226 0.439
```

The calculation puts the excess energy over the best structure of this formula in the dataset at 0.099 eV/atom. For the electronic total energy, the calculation gives -3.714 eV per atom. For the density of states at the Fermi level, the calculation gives 5.20 states/eV per cell. For the formation energy from raw total energies, the calculation gives -0.010 eV/atom. As for the total magnetization: 0.00 μB per cell. As for the space group: Pnma (62).